(1)
# LiTePt (GGA-PBEsol, optimized geometry)
# uncorrected formation energy = -0.613 eV/atom
# density of states at the Fermi level = 0.44 states/eV/atom
# ρ = 9.48 g/cm3
# energy above the lowest structure with this stoichiometry = 0 meV per atom
# calculated total energy = -4.77 eV per atom
# V = 19.25 Å³ per atom
data_LiTePt
_chemical_formula_sum 'Li1 Te1 Pt1'
_cell_length_a 4.339
_cell_length_b 4.339
_cell_length_c 4.339
_cell_angle_alpha 60.00
_cell_angle_beta 60.00
_cell_angle_gamma 60.00
_space_group_name_H-M_alt 'P 1'
_space_group_IT_number 1
_space_group_name_Hall 'P 1'
loop_
_atom_site_label
_atom_site_type_symbol
_atom_site_fract_x
_atom_site_fract_y
_atom_site_fract_z
Li1 Li 0.000 0.000 0.000
Te1 Te 0.500 0.500 0.500
Pt1 Pt 0.750 0.750 0.750

=====

(2)
# Li4TePt (GGA-PBEsol, optimized geometry)
# uncorrected formation energy = -0.269 eV/atom
# density of states at the Fermi level = 0.24 states/eV/atom
# ρ = 6.57 g/cm3
# calculated total energy = -3.33 eV per atom
# V = 14.76 Å³ per atom
data_Li4TePt
_chemical_formula_sum 'Li4 Te1 Pt1'
_cell_length_a 5.003
_cell_length_b 5.003
_cell_length_c 5.003
_cell_angle_alpha 60.00
_cell_angle_beta 60.00
_cell_angle_gamma 60.00
_space_group_name_H-M_alt 'P 1'
_space_group_IT_number 1
_space_group_name_Hall 'P 1'
loop_
_atom_site_label
_atom_site_type_symbol
_atom_site_fract_x
_atom_site_fract_y
_atom_site_fract_z
Li1 Li 0.376 0.376 0.376
Li2 Li 0.376 0.376 0.871
Li3 Li 0.376 0.871 0.376
Li4 Li 0.871 0.376 0.376
Te1 Te 0.000 0.000 0.000
Pt1 Pt 0.750 0.750 0.750

=====

(3)
# Li2TePt2 (GGA-PBEsol, optimized geometry)
# uncorrected formation energy = -0.364 eV/atom
# density of states at the Fermi level = 0.34 states/eV/atom
# ρ = 11.29 g/cm3
# calculated total energy = -4.64 eV per atom
# V = 15.63 Å³ per atom
data_Li2TePt2
_chemical_formula_sum 'Li4 Te2 Pt4'
_cell_length_a 7.326
_cell_length_b 7.326
_cell_length_c 2.913
_cell_angle_alpha 90.00
_cell_angle_beta 90.00
_cell_angle_gamma 90.00
_space_group_name_H-M_alt 'P 1'
_space_group_IT_number 1
_space_group_name_Hall 'P 1'
loop_
_atom_site_label
_atom_site_type_symbol
_atom_site_fract_x
_atom_site_fract_y
_atom_site_fract_z
Li1 Li 0.124 0.376 0.000
Li2 Li 0.376 0.876 0.000
Li3 Li 0.624 0.124 0.000
Li4 Li 0.876 0.624 0.000
Te1 Te 0.000 0.000 0.500
Te2 Te 0.500 0.500 0.500
Pt1 Pt 0.173 0.673 0.500
Pt2 Pt 0.327 0.173 0.500
Pt3 Pt 0.673 0.827 0.500
Pt4 Pt 0.827 0.327 0.500

=====

(4)
# LiThPt2 (GGA-PBEsol, optimized geometry)
# density of states at the Fermi level = 0.43 states/eV/atom
# ρ = 13.49 g/cm3
# DFT formation energy = -0.83 eV/atom
# calculated total energy = -6.83 eV per atom
# V = 19.36 Å³ per atom
data_LiThPt2
_chemical_formula_sum 'Li1 Th1 Pt2'
_cell_length_a 4.784
_cell_length_b 4.784
_cell_length_c 4.784
_cell_angle_alpha 60.00
_cell_angle_beta 60.00
_cell_angle_gamma 60.00
_space_group_name_H-M_alt 'P 1'
_space_group_IT_number 1
_space_group_name_Hall 'P 1'
loop_
_atom_site_label
_atom_site_type_symbol
_atom_site_fract_x
_atom_site_fract_y
_atom_site_fract_z
Li1 Li 0.000 0.000 0.000
Th1 Th 0.500 0.500 0.500
Pt1 Pt 0.250 0.250 0.250
Pt2 Pt 0.750 0.750 0.750

=====

(5)
# Li2TiPt2 (GGA-PBEsol, optimized geometry)
# density of states at the Fermi level = 0.51 states/eV/atom
# ρ = 10.77 g/cm3
# DFT formation energy = -0.44 eV/atom
# calculated total energy = -5.68 eV per atom
# V = 13.93 Å³ per atom
data_Li2TiPt2
_chemical_formula_sum 'Li4 Ti2 Pt4'
_cell_length_a 7.134
_cell_length_b 7.134
_cell_length_c 2.738
_cell_angle_alpha 90.00
_cell_angle_beta 90.00
_cell_angle_gamma 90.00
_space_group_name_H-M_alt 'P 1'
_space_group_IT_number 1
_space_group_name_Hall 'P 1'
loop_
_atom_site_label
_atom_site_type_symbol
_atom_site_fract_x
_atom_site_fract_y
_atom_site_fract_z
Li1 Li 0.118 0.382 0.000
Li2 Li 0.382 0.882 0.000
Li3 Li 0.618 0.118 0.000
Li4 Li 0.882 0.618 0.000
Ti1 Ti 0.000 0.000 0.500
Ti2 Ti 0.500 0.500 0.500
Pt1 Pt 0.180 0.680 0.500
Pt2 Pt 0.320 0.180 0.500
Pt3 Pt 0.680 0.820 0.500
Pt4 Pt 0.820 0.320 0.500

=====

(6)
# LiTlPt2 (GGA-PBEsol, optimized geometry)
# density of states at the Fermi level = 0.29 states/eV/atom
# ρ = 15.65 g/cm3
# DFT formation energy = -0.24 eV/atom
# calculated total energy = -4.87 eV per atom
# V = 15.95 Å³ per atom
data_LiTlPt2
_chemical_formula_sum 'Li1 Tl1 Pt2'
_cell_length_a 2.920
_cell_length_b 3.810
_cell_length_c 5.735
_cell_angle_alpha 90.00
_cell_angle_beta 90.00
_cell_angle_gamma 90.00
_space_group_name_H-M_alt 'P 1'
_space_group_IT_number 1
_space_group_name_Hall 'P 1'
loop_
_atom_site_label
_atom_site_type_symbol
_atom_site_fract_x
_atom_site_fract_y
_atom_site_fract_z
Li1 Li 0.000 0.000 0.000
Tl1 Tl 0.000 0.000 0.500
Pt1 Pt 0.500 0.500 0.232
Pt2 Pt 0.500 0.500 0.768

=====

(7)
# Li3TlPt (GGA-PBEsol, optimized geometry)
# density of states at the Fermi level = 0.54 states/eV/atom
# ρ = 6.80 g/cm3
# DFT formation energy = -0.05 eV/atom
# energy above the lowest structure with this stoichiometry = 0 meV per atom
# calculated total energy = -3.15 eV per atom
# V = 20.53 Å³ per atom
data_Li3TlPt
_chemical_formula_sum 'Li3 Tl1 Pt1'
_cell_length_a 4.682
_cell_length_b 4.682
_cell_length_c 4.682
_cell_angle_alpha 90.00
_cell_angle_beta 90.00
_cell_angle_gamma 90.00
_space_group_name_H-M_alt 'P 1'
_space_group_IT_number 1
_space_group_name_Hall 'P 1'
loop_
_atom_site_label
_atom_site_type_symbol
_atom_site_fract_x
_atom_site_fract_y
_atom_site_fract_z
Li1 Li 0.000 0.000 0.500
Li2 Li 0.000 0.500 0.000
Li3 Li 0.500 0.000 0.000
Tl1 Tl 0.500 0.500 0.500
Pt1 Pt 0.000 0.000 0.000

=====

(8)
# LiTlPt2 (GGA-PBEsol, optimized geometry)
# density of states at the Fermi level = 0.35 states/eV/atom
# ρ = 15.61 g/cm3
# DFT formation energy = -0.26 eV/atom
# calculated total energy = -4.89 eV per atom
# V = 16.00 Å³ per atom
data_LiTlPt2
_chemical_formula_sum 'Li1 Tl1 Pt2'
_cell_length_a 4.900
_cell_length_b 4.900
_cell_length_c 4.900
_cell_angle_alpha 131.84
_cell_angle_beta 131.84
_cell_angle_gamma 70.48
_space_group_name_H-M_alt 'P 1'
_space_group_IT_number 1
_space_group_name_Hall 'P 1'
loop_
_atom_site_label
_atom_site_type_symbol
_atom_site_fract_x
_atom_site_fract_y
_atom_site_fract_z
Li1 Li 0.000 0.000 0.000
Tl1 Tl 0.250 0.750 0.500
Pt1 Pt 0.500 0.500 0.000
Pt2 Pt 0.750 0.250 0.500

=====

(9)
# LiTlPt2 (GGA-PBEsol, optimized geometry)
# density of states at the Fermi level = 0.33 states/eV/atom
# ρ = 15.79 g/cm3
# DFT formation energy = -0.34 eV/atom
# calculated total energy = -4.97 eV per atom
# V = 15.81 Å³ per atom
data_LiTlPt2
_chemical_formula_sum 'Li1 Tl1 Pt2'
_cell_length_a 4.018
_cell_length_b 4.018
_cell_length_c 3.918
_cell_angle_alpha 90.00
_cell_angle_beta 90.00
_cell_angle_gamma 90.00
_space_group_name_H-M_alt 'P 1'
_space_group_IT_number 1
_space_group_name_Hall 'P 1'
loop_
_atom_site_label
_atom_site_type_symbol
_atom_site_fract_x
_atom_site_fract_y
_atom_site_fract_z
Li1 Li 0.000 0.000 0.000
Tl1 Tl 0.500 0.500 0.000
Pt1 Pt 0.000 0.500 0.500
Pt2 Pt 0.500 0.000 0.500

=====

(10)
# LiTlPt4 (GGA-PBEsol, optimized geometry)
# density of states at the Fermi level = 0.49 states/eV/atom
# ρ = 15.78 g/cm3
# DFT formation energy = -0.21 eV/atom
# calculated total energy = -5.62 eV per atom
# V = 17.39 Å³ per atom
data_LiTlPt4
_chemical_formula_sum 'Li1 Tl1 Pt4'
_cell_length_a 5.284
_cell_length_b 5.284
_cell_length_c 5.284
_cell_angle_alpha 60.00
_cell_angle_beta 60.00
_cell_angle_gamma 60.00
_space_group_name_H-M_alt 'P 1'
_space_group_IT_number 1
_space_group_name_Hall 'P 1'
loop_
_atom_site_label
_atom_site_type_symbol
_atom_site_fract_x
_atom_site_fract_y
_atom_site_fract_z
Li1 Li 0.000 0.000 0.000
Tl1 Tl 0.750 0.750 0.750
Pt1 Pt 0.375 0.375 0.375
Pt2 Pt 0.375 0.375 0.875
Pt3 Pt 0.375 0.875 0.375
Pt4 Pt 0.875 0.375 0.375

=====

(11)
# LiY2Pt (GGA-PBEsol, optimized geometry)
# density of states at the Fermi level = 0.71 states/eV/atom
# ρ = 7.49 g/cm3
# DFT formation energy = -0.65 eV/atom
# energy above the lowest structure with this stoichiometry = 0 meV per atom
# calculated total energy = -6.29 eV per atom
# V = 21.04 Å³ per atom
data_LiY2Pt
_chemical_formula_sum 'Li1 Y2 Pt1'
_cell_length_a 4.919
_cell_length_b 4.919
_cell_length_c 4.919
_cell_angle_alpha 60.00
_cell_angle_beta 60.00
_cell_angle_gamma 60.00
_space_group_name_H-M_alt 'P 1'
_space_group_IT_number 1
_space_group_name_Hall 'P 1'
loop_
_atom_site_label
_atom_site_type_symbol
_atom_site_fract_x
_atom_site_fract_y
_atom_site_fract_z
Li1 Li 0.000 0.000 0.000
Y1 Y 0.250 0.250 0.250
Y2 Y 0.750 0.750 0.750
Pt1 Pt 0.500 0.500 0.500

=====

(12)
# LiY2Pt (GGA-PBEsol, optimized geometry)
# density of states at the Fermi level = 0.55 states/eV/atom
# ρ = 8.09 g/cm3
# DFT formation energy = -0.38 eV/atom
# energy above the lowest structure with this stoichiometry = 263 meV per atom
# calculated total energy = -6.03 eV per atom
# V = 19.50 Å³ per atom
data_LiY2Pt
_chemical_formula_sum 'Li1 Y2 Pt1'
_cell_length_a 4.796
_cell_length_b 4.796
_cell_length_c 4.796
_cell_angle_alpha 60.00
_cell_angle_beta 60.00
_cell_angle_gamma 60.00
_space_group_name_H-M_alt 'P 1'
_space_group_IT_number 1
_space_group_name_Hall 'P 1'
loop_
_atom_site_label
_atom_site_type_symbol
_atom_site_fract_x
_atom_site_fract_y
_atom_site_fract_z
Li1 Li 0.000 0.000 0.000
Y1 Y 0.250 0.250 0.250
Y2 Y 0.500 0.500 0.500
Pt1 Pt 0.750 0.750 0.750